(1)
This record from the Alexandria database describes BeHOF2 after structural relaxation. The functional is PBE.

The structure in CIF format:
```
data_BeHOF2
_chemical_formula_sum 'Be1 H1 O1 F2'
_cell_length_a 3.764
_cell_length_b 3.764
_cell_length_c 2.603
_cell_angle_alpha 90.00
_cell_angle_beta 90.00
_cell_angle_gamma 90.00
_symmetry_space_group_name_H-M 'P 4/m m m'
_symmetry_Int_Tables_number 123
_symmetry_space_group_name_Hall '-P 4 2'
loop_
_atom_site_label
_atom_site_fract_x
_atom_site_fract_y
_atom_site_fract_z
Be1 0.000 0.000 0.000
H1 0.500 0.500 0.500
O1 0.500 0.500 0.000
F1 0.000 0.500 0.500
```

Output
Energy relative to the lowest polymorph listed for this composition   436 meV per atom

(2)
This record from the Alexandria database describes BeHOF2 after structural relaxation. The functional is PBE.

The structure in CIF format:
```
data_BeHOF2
_chemical_formula_sum 'Be1 H1 O1 F2'
_cell_length_a 3.269
_cell_length_b 3.269
_cell_length_c 4.160
_cell_angle_alpha 90.00
_cell_angle_beta 90.00
_cell_angle_gamma 90.00
_symmetry_space_group_name_H-M 'P 4/m m m'
_symmetry_Int_Tables_number 123
_symmetry_space_group_name_Hall '-P 4 2'
loop_
_atom_site_label
_atom_site_fract_x
_atom_site_fract_y
_atom_site_fract_z
Be1 0.000 0.000 0.000
H1 0.500 0.500 0.500
O1 0.000 0.000 0.500
F1 0.000 0.500 0.000
```

Output
Energy relative to the lowest polymorph listed for this composition   0 meV per atom

(3)
This record from the Alexandria database describes BeH2OF2 after structural relaxation. The functional is PBE.

The structure in CIF format:
```
data_BeH2OF2
_chemical_formula_sum 'Be4 H8 O4 F8'
_cell_length_a 7.113
_cell_length_b 5.858
_cell_length_c 5.210
_cell_angle_alpha 90.00
_cell_angle_beta 90.00
_cell_angle_gamma 90.00
_symmetry_space_group_name_H-M 'C m c 21'
_symmetry_Int_Tables_number 36
loop_
_symmetry_equiv_pos_as_xyz
'x,y,z'
'-x,-y,z+1/2'
'-x,y,z'
'x,-y,z+1/2'
'x+1/2,y+1/2,z'
'-x+1/2,-y+1/2,z+1/2'
'-x+1/2,y+1/2,z'
'x+1/2,-y+1/2,z+1/2'
loop_
_atom_site_label
_atom_site_fract_x
_atom_site_fract_y
_atom_site_fract_z
Be1 0.000 0.150 0.000
H1 0.123 0.189 0.395
O1 0.000 0.107 0.341
F1 0.179 0.271 0.942
```

Output
Raw total energy   -126.4 eV for the cell shown

(4)
This record from the Alexandria database describes Rb2BeHF6 after structural relaxation. The functional is PBE.

The structure in CIF format:
```
data_Rb2BeHF6
_chemical_formula_sum 'Rb4 Be2 H2 F12'
_cell_length_a 5.436
_cell_length_b 5.436
_cell_length_c 9.364
_cell_angle_alpha 90.00
_cell_angle_beta 90.00
_cell_angle_gamma 90.00
_symmetry_space_group_name_H-M 'I 4/m m m'
_symmetry_Int_Tables_number 139
_symmetry_space_group_name_Hall '-I 4 2'
loop_
_atom_site_label
_atom_site_fract_x
_atom_site_fract_y
_atom_site_fract_z
Rb1 0.000 0.500 0.250
Be1 0.000 0.000 0.000
H1 0.000 0.000 0.500
F1 0.000 0.000 0.157
F2 0.209 0.209 0.500
```

Output
Raw total energy   -82.1 eV for the cell shown

(5)
This record from the Alexandria database describes SrBeH2F after structural relaxation. The functional is PBE.

The structure in CIF format:
```
data_SrBeH2F
_chemical_formula_sum 'Sr1 Be1 H2 F1'
_cell_length_a 4.616
_cell_length_b 4.616
_cell_length_c 4.566
_cell_angle_alpha 90.00
_cell_angle_beta 90.00
_cell_angle_gamma 90.00
_symmetry_space_group_name_H-M 'P 4/m m m'
_symmetry_Int_Tables_number 123
_symmetry_space_group_name_Hall '-P 4 2'
loop_
_atom_site_label
_atom_site_fract_x
_atom_site_fract_y
_atom_site_fract_z
Sr1 0.000 0.000 0.000
Be1 0.500 0.500 0.500
H1 0.000 0.500 0.000
F1 0.000 0.000 0.500
```

Output
Raw total energy   -14.8 eV for the cell shown